# PBE-GGA NaTa3Re, relaxed
data_NaTa3Re
_chemical_formula_sum 'Na1 Ta3 Re1'
_symmetry_space_group_name_H-M 'P 1'
_symmetry_Int_Tables_number 1
_symmetry_space_group_name_Hall 'P 1'
_cell_length_a 4.924
_cell_length_b 4.924
_cell_length_c 4.924
_cell_angle_alpha 90.00
_cell_angle_beta 90.00
_cell_angle_gamma 90.00
loop_
_atom_site_label
_atom_site_type_symbol
_atom_site_fract_x
_atom_site_fract_y
_atom_site_fract_z
Ta1 Ta 0.500 0.000 0.000
Ta2 Ta 0.000 0.000 0.500
Ta3 Ta 0.000 0.500 0.000
Na1 Na 0.500 0.500 0.500
Re1 Re 0.000 0.000 0.000
# E above lowest polymorph (eV per atom): 0.000

***

# PBE-GGA NaTaRe2, relaxed
data_NaTaRe2
_chemical_formula_sum 'Na1 Ta1 Re2'
_symmetry_space_group_name_H-M 'P 1'
_symmetry_Int_Tables_number 1
_symmetry_space_group_name_Hall 'P 1'
_cell_length_a 4.526
_cell_length_b 4.526
_cell_length_c 4.526
_cell_angle_alpha 60.00
_cell_angle_beta 60.00
_cell_angle_gamma 60.00
loop_
_atom_site_label
_atom_site_type_symbol
_atom_site_fract_x
_atom_site_fract_y
_atom_site_fract_z
Na1 Na 0.000 0.000 0.000
Re1 Re 0.250 0.250 0.250
Re2 Re 0.750 0.750 0.750
Ta1 Ta 0.500 0.500 0.500
# E above lowest polymorph (eV per atom): 0.000

***

# PBE-GGA NaTaZnRe2, relaxed
data_NaTaZnRe2
_chemical_formula_sum 'Na1 Ta1 Zn1 Re2'
_symmetry_space_group_name_H-M 'P 1'
_symmetry_Int_Tables_number 1
_symmetry_space_group_name_Hall 'P 1'
_cell_length_a 4.786
_cell_length_b 5.348
_cell_length_c 4.786
_cell_angle_alpha 90.00
_cell_angle_beta 90.00
_cell_angle_gamma 90.00
loop_
_atom_site_label
_atom_site_type_symbol
_atom_site_fract_x
_atom_site_fract_y
_atom_site_fract_z
Zn1 Zn 0.500 0.500 0.500
Ta1 Ta 0.000 0.000 0.000
Na1 Na 0.000 0.500 0.000
Re1 Re 0.000 0.000 0.500
Re2 Re 0.500 0.000 0.000
# Total DFT energy (no corrections) (eV/atom): -5.805

***

# PBE-GGA Na2ReTc, relaxed
data_Na2ReTc
_chemical_formula_sum 'Na2 Re1 Tc1'
_symmetry_space_group_name_H-M 'P 1'
_symmetry_Int_Tables_number 1
_symmetry_space_group_name_Hall 'P 1'
_cell_length_a 4.727
_cell_length_b 4.727
_cell_length_c 4.727
_cell_angle_alpha 60.00
_cell_angle_beta 60.00
_cell_angle_gamma 60.00
loop_
_atom_site_label
_atom_site_type_symbol
_atom_site_fract_x
_atom_site_fract_y
_atom_site_fract_z
Re1 Re 0.500 0.500 0.500
Na1 Na 0.750 0.750 0.750
Na2 Na 0.250 0.250 0.250
Tc1 Tc 0.000 0.000 0.000
# E above lowest polymorph (eV per atom): 0.284

***

# PBE-GGA Na2ReTc, relaxed
data_Na2ReTc
_chemical_formula_sum 'Na4 Re2 Tc2'
_symmetry_space_group_name_H-M 'P 1'
_symmetry_Int_Tables_number 1
_symmetry_space_group_name_Hall 'P 1'
_cell_length_a 8.269
_cell_length_b 8.269
_cell_length_c 6.329
_cell_angle_alpha 49.21
_cell_angle_beta 49.21
_cell_angle_gamma 90.00
loop_
_atom_site_label
_atom_site_type_symbol
_atom_site_fract_x
_atom_site_fract_y
_atom_site_fract_z
Re1 Re 0.000 0.000 0.000
Re2 Re 0.750 0.250 0.500
Tc1 Tc 0.250 0.750 0.500
Tc2 Tc 0.500 0.500 0.000
Na1 Na 0.129 0.625 0.250
Na2 Na 0.875 0.871 0.750
Na3 Na 0.621 0.125 0.250
Na4 Na 0.375 0.379 0.750
# E above lowest polymorph (eV per atom): 0.000

***

# PBE-GGA NaRe3Tc, relaxed
data_NaRe3Tc
_chemical_formula_sum 'Na1 Re3 Tc1'
_symmetry_space_group_name_H-M 'P 1'
_symmetry_Int_Tables_number 1
_symmetry_space_group_name_Hall 'P 1'
_cell_length_a 4.375
_cell_length_b 4.375
_cell_length_c 4.375
_cell_angle_alpha 90.00
_cell_angle_beta 90.00
_cell_angle_gamma 90.00
loop_
_atom_site_label
_atom_site_type_symbol
_atom_site_fract_x
_atom_site_fract_y
_atom_site_fract_z
Re1 Re 0.000 0.000 0.500
Re2 Re 0.500 0.000 0.000
Re3 Re 0.000 0.500 0.000
Na1 Na 0.000 0.000 0.000
Tc1 Tc 0.500 0.500 0.500
# E above lowest polymorph (eV per atom): 1.046

***

# PBE-GGA NaReTc2, relaxed
data_NaReTc2
_chemical_formula_sum 'Na2 Re2 Tc4'
_symmetry_space_group_name_H-M 'P 1'
_symmetry_Int_Tables_number 1
_symmetry_space_group_name_Hall 'P 1'
_cell_length_a 7.278
_cell_length_b 7.278
_cell_length_c 5.837
_cell_angle_alpha 51.44
_cell_angle_beta 51.44
_cell_angle_gamma 90.00
loop_
_atom_site_label
_atom_site_type_symbol
_atom_site_fract_x
_atom_site_fract_y
_atom_site_fract_z
Tc1 Tc 0.072 0.625 0.250
Tc2 Tc 0.375 0.322 0.750
Tc3 Tc 0.875 0.928 0.750
Tc4 Tc 0.678 0.125 0.250
Na1 Na 0.250 0.750 0.500
Na2 Na 0.500 0.500 0.000
Re1 Re 0.000 0.000 0.000
Re2 Re 0.750 0.250 0.500
# E above lowest polymorph (eV per atom): 0.401

***

# PBE-GGA NaRe2Tc, relaxed
data_NaRe2Tc
_chemical_formula_sum 'Na2 Re4 Tc2'
_symmetry_space_group_name_H-M 'P 1'
_symmetry_Int_Tables_number 1
_symmetry_space_group_name_Hall 'P 1'
_cell_length_a 7.430
_cell_length_b 7.430
_cell_length_c 5.877
_cell_angle_alpha 50.80
_cell_angle_beta 50.80
_cell_angle_gamma 90.00
loop_
_atom_site_label
_atom_site_type_symbol
_atom_site_fract_x
_atom_site_fract_y
_atom_site_fract_z
Re1 Re 0.875 0.932 0.750
Re2 Re 0.375 0.318 0.750
Re3 Re 0.068 0.625 0.250
Re4 Re 0.682 0.125 0.250
Tc1 Tc 0.750 0.250 0.500
Tc2 Tc 0.000 0.000 0.000
Na1 Na 0.250 0.750 0.500
Na2 Na 0.500 0.500 0.000
# E above lowest polymorph (eV per atom): 0.316

***

Number 1: spin magnetization 0.00 μB/cell. Number 2: spin magnetization 0.00 μB/cell. Number 3: spin magnetization 1.71 μB/cell. Number 4: spin magnetization 4.78 μB/cell. Number 5: spin magnetization 6.07 μB/cell. Number 6: spin magnetization 0.36 μB/cell. Number 7: spin magnetization 0.00 μB/cell. Number 8: spin magnetization 0.00 μB/cell.